# In2IrRu | Alexandria | PBE | relaxed
data_In2IrRu
_chemical_formula_sum 'In8 Ir4 Ru4'
_cell_length_a 7.3456
_cell_length_b 7.3456
_cell_length_c 5.7108
_cell_angle_alpha 90.00
_cell_angle_beta 90.00
_cell_angle_gamma 90.00
_symmetry_space_group_name_H-M 'I -4 2 d'
_symmetry_Int_Tables_number 122
_symmetry_space_group_name_Hall 'I -4 2bw'
loop_
_atom_site_label
_atom_site_fract_x
_atom_site_fract_y
_atom_site_fract_z
In1 0.2460 0.2500 0.1250
Ir1 0.0000 0.0000 0.0000
Ru1 0.0000 0.0000 0.5000
# energy relative to the elements	0.570	eV per atom
# DOS(E_F)	16.00	states/eV/cell
# crystal system	tetragonal

# GdY2Au | Alexandria | PBE | relaxed
data_GdY2Au
_chemical_formula_sum 'Gd3 Y6 Au3'
_cell_length_a 3.6450
_cell_length_b 3.6450
_cell_length_c 32.6168
_cell_angle_alpha 90.00
_cell_angle_beta 90.00
_cell_angle_gamma 120.00
_symmetry_space_group_name_H-M 'R -3 m'
_symmetry_Int_Tables_number 166
_symmetry_space_group_name_Hall '-R 3 2"'
loop_
_atom_site_label
_atom_site_fract_x
_atom_site_fract_y
_atom_site_fract_z
Gd1 0.0000 0.0000 0.0000
Y1 0.0000 0.0000 0.1034
Au1 0.0000 0.0000 0.5000
# energy relative to the elements	-0.088	eV per atom
# E above lowest polymorph	306	meV per atom
# DOS(E_F)	19.42	states/eV/cell
# crystal system	trigonal

# Pa3MnCo8 | Alexandria | PBE | relaxed
data_Pa3MnCo8
_chemical_formula_sum 'Pa9 Mn3 Co24'
_cell_length_a 4.8934
_cell_length_b 4.8934
_cell_length_c 24.1697
_cell_angle_alpha 90.00
_cell_angle_beta 90.00
_cell_angle_gamma 120.00
_symmetry_space_group_name_H-M 'R 3 m'
_symmetry_Int_Tables_number 160
_symmetry_space_group_name_Hall 'R 3 -2"'
loop_
_atom_site_label
_atom_site_fract_x
_atom_site_fract_y
_atom_site_fract_z
Pa1 0.0000 0.0000 0.0000
Pa2 0.0000 0.0000 0.1284
Pa3 0.0000 0.0000 0.5134
Mn1 0.0000 0.0000 0.6361
Co1 0.0000 0.0000 0.3178
Co2 0.0000 0.0000 0.8182
Co3 0.1675 0.3350 0.9031
Co4 0.1677 0.3355 0.4000
# energy relative to the elements	-0.264	eV per atom
# DOS(E_F)	50.81	states/eV/cell
# crystal system	trigonal

# Dy3TmRh4 | Alexandria | PBE | relaxed
data_Dy3TmRh4
_chemical_formula_sum 'Dy6 Tm2 Rh8'
_cell_length_a 14.5073
_cell_length_b 4.8198
_cell_length_c 4.8198
_cell_angle_alpha 90.00
_cell_angle_beta 109.30
_cell_angle_gamma 90.00
_symmetry_space_group_name_H-M 'C 1 2/m 1'
_symmetry_Int_Tables_number 12
loop_
_symmetry_equiv_pos_as_xyz
'x,y,z'
'-x,-y,-z'
'-x,y,-z'
'x,-y,z'
'x+1/2,y+1/2,z'
'-x+1/2,-y+1/2,-z'
'-x+1/2,y+1/2,-z'
'x+1/2,-y+1/2,z'
loop_
_atom_site_label
_atom_site_fract_x
_atom_site_fract_y
_atom_site_fract_z
Dy1 0.0000 0.0000 0.0000
Dy2 0.2504 0.0000 0.2504
Tm1 0.0000 0.5000 0.5000
Rh1 0.1240 0.0000 0.6239
Rh2 0.1240 0.5000 0.1240
# energy relative to the elements	-0.901	eV per atom
# DOS(E_F)	8.62	states/eV/cell
# crystal system	monoclinic

# Sc4TeRu | Alexandria | PBE | relaxed
data_Sc4TeRu
_chemical_formula_sum 'Sc16 Te4 Ru4'
_cell_length_a 7.9936
_cell_length_b 7.9936
_cell_length_c 7.9936
_cell_angle_alpha 90.00
_cell_angle_beta 90.00
_cell_angle_gamma 90.00
_symmetry_space_group_name_H-M 'F -4 3 m'
_symmetry_Int_Tables_number 216
_symmetry_space_group_name_Hall 'F -4 2 3'
loop_
_atom_site_label
_atom_site_fract_x
_atom_site_fract_y
_atom_site_fract_z
Sc1 0.1235 0.1235 0.3765
Te1 0.0000 0.0000 0.0000
Ru1 0.2500 0.2500 0.7500
# E above lowest polymorph	860	meV per atom
# DOS(E_F)	33.61	states/eV/cell
# crystal system	cubic

# LaMoN3 | Alexandria | PBE | relaxed
data_LaMoN3
_chemical_formula_sum 'La8 Mo8 N24'
_cell_length_a 10.8980
_cell_length_b 10.1250
_cell_length_c 6.3749
_cell_angle_alpha 90.00
_cell_angle_beta 108.60
_cell_angle_gamma 90.00
_symmetry_space_group_name_H-M 'C 1 2/c 1'
_symmetry_Int_Tables_number 15
loop_
_symmetry_equiv_pos_as_xyz
'x,y,z'
'-x,-y,-z'
'-x,y,-z+1/2'
'x,-y,z+1/2'
'x+1/2,y+1/2,z'
'-x+1/2,-y+1/2,-z'
'-x+1/2,y+1/2,-z+1/2'
'x+1/2,-y+1/2,z+1/2'
loop_
_atom_site_label
_atom_site_fract_x
_atom_site_fract_y
_atom_site_fract_z
La1 0.0000 0.0925 0.2500
La2 0.0000 0.3135 0.7500
Mo1 0.2093 0.4107 0.2504
N1 0.1134 0.1120 0.6537
N2 0.1320 0.2577 0.1450
N3 0.1505 0.4814 0.4903
# DOS(E_F)	0.00	states/eV/cell
# E	-9.056	eV/atom
# crystal system	monoclinic